VASP calculation (PBE-GGA) on Pr7Pb3C2 after structural relaxation.

abc: 5.2104 25.9014 5.0911
angles: 90.00 90.00 90.00
Space group Cmmm (No. 65)
Inequivalent atoms, fractional coordinates:
Pr  0.0000  0.0000  0.0000 [2 per cell]
Pr  0.0000  0.0965  0.5000 [4 per cell]
Pr  0.0000  0.1998  0.0000 [4 per cell]
Pr  0.0000  0.3981  0.0000 [4 per cell]
Pb  0.0000  0.3097  0.5000 [4 per cell]
Pb  0.0000  0.5000  0.5000 [2 per cell]
C  0.0000  0.1026  0.0000 [4 per cell]

Computed properties:
For the total magnetic moment, the calculation gives 0.00 μB/cell. As for the density of states at the Fermi level: 12.29 states/eV per cell. For the total energy, the calculation gives -135.3 eV per cell. The formation energy comes out at -0.386 eV/atom.